#w
Computed, not measured: AgSn3Se after structural relaxation at the PBE level of DFT.

As for the symmetry: Pm-3m (221). For the density of states at the Fermi level, the calculation gives 0.69 states/eV per atom.

abc: 5.5349 5.5349 5.5349
angles: 90.00 90.00 90.00
Element x y z (fractional)
Sn 0.0000 0.0000 0.5000
Sn 0.0000 0.5000 0.0000
Sn 0.5000 0.0000 0.0000
Se 0.0000 0.0000 0.0000
Ag 0.5000 0.5000 0.5000

---

#x
Computed, not measured: AgSn3Se after structural relaxation at the PBE level of DFT.

As for the symmetry: Pm-3m (221). For the density of states at the Fermi level, the calculation gives 0.43 states/eV per atom.

abc: 5.3391 5.3391 5.3391
angles: 90.00 90.00 90.00
Element x y z (fractional)
Sn 0.5000 0.0000 0.0000
Sn 0.0000 0.0000 0.5000
Sn 0.0000 0.5000 0.0000
Se 0.5000 0.5000 0.5000
Ag 0.0000 0.0000 0.0000

---

Most stable of them? #x.

---

#w
Computed, not measured: AgSn6Se8 after structural relaxation at the PBE level of DFT.

As for the symmetry: R-3 (148). For the density of states at the Fermi level, the calculation gives 0.48 states/eV per atom.

abc: 8.2548 8.2548 8.2548
angles: 98.90 98.90 98.90
Element x y z (fractional)
Sn 0.6349 0.4669 0.8395
Sn 0.5331 0.1605 0.3651
Sn 0.1605 0.3651 0.5331
Sn 0.4669 0.8395 0.6349
Sn 0.3651 0.5331 0.1605
Sn 0.8395 0.6349 0.4669
Se 0.3375 0.6041 0.8417
Se 0.7910 0.7910 0.7910
Se 0.2090 0.2090 0.2090
Se 0.8417 0.3375 0.6041
Se 0.6041 0.8417 0.3375
Se 0.6625 0.3959 0.1583
Se 0.1583 0.6625 0.3959
Se 0.3959 0.1583 0.6625
Ag 0.0000 0.0000 0.0000

---

#x
Computed, not measured: AgSn6Se8 after structural relaxation at the PBE level of DFT.

As for the symmetry: P-3 (147). For the density of states at the Fermi level, the calculation gives 0.62 states/eV per atom.

abc: 5.5825 9.5438 9.5438
angles: 120.00 90.00 90.00
Element x y z (fractional)
Se 0.7445 0.0128 0.2684
Se 0.7445 0.2556 0.9872
Se 0.5237 0.6667 0.3333
Se 0.7445 0.7316 0.7444
Se 0.2555 0.2684 0.2556
Se 0.2555 0.9872 0.7316
Se 0.2555 0.7444 0.0128
Se 0.4763 0.3333 0.6667
Sn 0.7217 0.6823 0.0753
Sn 0.2783 0.3177 0.9247
Sn 0.7217 0.9247 0.6071
Sn 0.2783 0.0753 0.3929
Sn 0.7217 0.3929 0.3177
Sn 0.2783 0.6071 0.6823
Ag 0.5000 0.0000 0.0000

---

Most stable of them? #x.